DFT (PBE-GGA) results for an optimized crystal structure of CoPSeCl2.

Computed properties:
Excess energy over the best structure of this formula in the dataset, meV per atom: 0

Unit cell a=4.4270 b=4.4270 c=4.7060 alpha=90.00 beta=90.00 gamma=90.00
Closest atoms and distances in Å follow each position.
Space group P4/mmm (No. 123)
Unique sites:
Co  0.0000  0.0000  0.0000 (multiplicity 1)  4 Cl 2.21, 2 P 2.35
P  0.0000  0.0000  0.5000 (multiplicity 1)  2 Co 2.35
Se  0.5000  0.5000  0.5000 (multiplicity 1)  4 P 3.13, 8 Cl 3.23
Cl  0.0000  0.5000  0.0000 (multiplicity 2)  2 Co 2.21